Material: AsPdS3
Method: DFT, PBE-GGA
State: relaxed

```
5
Lattice="-0.293 -3.583 0.268 4.406 -0.759 -5.326 2.201 0.313 6.589" Properties=species:S:1:pos:R:3 pbc="T T T"
As 2.206 -1.552 5.903
Pd 3.238 -0.191 0.985
S 4.511 -2.060 1.632
S 2.614 0.112 4.354
S 1.586 -1.863 1.073
```

Computed properties:
- total magnetization (μB per formula unit) = 0.00
- crystal system = orthorhombic
- formation energy from raw total energies (eV per atom) = -0.021
- excess energy over the best structure of this formula in the dataset (eV/atom) = 0.000


Material: In5Hg3Bi2
Method: DFT, PBE-GGA
State: relaxed

```
20
Lattice="-3.420 2.030 2.342 -4.634 -13.261 4.729 6.868 -0.340 5.777" Properties=species:S:1:pos:R:3 pbc="T T T"
In 3.120 -3.586 7.666
In 0.976 -6.440 7.008
In -0.021 0.996 3.655
In -0.665 -4.979 3.345
In -1.509 -11.706 7.945
In -0.603 -1.962 0.821
In -1.155 -4.093 6.411
In -1.787 -10.214 10.794
In 0.354 -6.925 11.070
In -4.915 -9.726 5.803
Hg -2.080 -7.013 7.591
Hg -3.427 -6.012 4.755
Hg -3.794 -12.566 5.353
Hg 2.001 -1.390 4.127
Hg 0.720 -4.409 9.422
Hg 4.211 0.077 6.083
Bi 0.608 -9.141 8.813
Bi -1.749 -9.530 5.707
Bi 0.702 -1.642 6.998
Bi -1.596 -1.864 3.833
```

Computed properties:
- total magnetization (μB per formula unit) = 0.00
- formation enthalpy at 0 K (meV per atom) = 36
- crystal system = orthorhombic


Material: LiPu5
Method: DFT, PBE-GGA
State: relaxed

```
6
Lattice="3.066 0.000 0.000 0.000 5.149 0.000 0.000 -2.575 7.805" Properties=species:S:1:pos:R:3 pbc="T T T"
Li 0.000 0.000 0.000
Pu 0.000 2.575 2.537
Pu 0.000 0.000 5.268
Pu 1.533 2.575 0.000
Pu 1.533 0.000 2.590
Pu 1.533 2.575 5.215
```

Computed properties:
- total magnetization (μB per formula unit) = 5.70
- formation enthalpy at 0 K (meV per atom) = 239
- crystal system = orthorhombic


Material: CeCo4As2
Method: DFT, PBE-GGA
State: relaxed

```
28
Lattice="3.754 0.000 0.000 0.000 6.591 0.000 0.000 0.000 16.307" Properties=species:S:1:pos:R:3 pbc="T T T"
As 0.939 4.676 8.985
As 2.816 1.916 7.322
As 2.816 1.380 15.475
As 0.939 5.211 0.831
As 0.939 0.203 12.295
As 2.816 6.389 4.011
As 2.816 3.498 12.165
As 0.939 3.093 4.142
Co 0.939 2.229 11.242
Co 2.816 4.362 5.064
Co 2.816 5.525 13.217
Co 0.939 1.066 3.089
Co 0.939 4.729 11.334
Co 2.816 1.863 4.972
Co 2.816 1.433 13.125
Co 0.939 5.158 3.181
Co 0.939 2.228 8.756
Co 2.816 4.364 7.551
Co 2.816 5.524 15.704
Co 0.939 1.068 0.602
Co 0.939 3.187 6.402
Co 2.816 3.405 9.904
Co 2.816 6.482 1.751
Co 0.939 0.109 14.556
Ce 2.816 0.362 9.909
Ce 0.939 6.230 6.398
Ce 0.939 3.657 14.551
Ce 2.816 2.934 1.756
```

Computed properties:
- total magnetization (μB per formula unit) = 0.00
- formation enthalpy at 0 K (meV per atom) = -477
- crystal system = orthorhombic


Material: SN
Method: DFT, PBE-GGA
State: relaxed

```
8
Lattice="-2.309 -4.035 -7.077 -1.345 -7.066 4.468 -2.492 0.726 0.399" Properties=species:S:1:pos:R:3 pbc="T T T"
S -1.174 -3.567 -0.839
S -3.383 -4.213 -4.815
S -2.763 -6.161 2.604
S -2.480 -7.534 -1.771
N -1.596 -6.278 1.464
N -4.024 -8.075 -1.784
N -2.122 -2.299 -0.427
N -2.058 -4.824 -4.074
```

Computed properties:
- total magnetization (μB per formula unit) = 0.00
- crystal system = tetragonal
- formation energy from raw total energies (eV per atom) = 0.777


Material: VPdS2
Method: DFT, PBE-GGA
State: relaxed

```
4
Lattice="2.683 -1.549 0.000 0.000 3.098 0.000 0.000 0.000 7.468" Properties=species:S:1:pos:R:3 pbc="T T T"
S 0.894 1.549 5.893
S 1.788 0.000 1.465
Pd 0.894 1.549 3.588
V 0.000 0.000 7.388
```

Computed properties:
- total magnetization (μB per formula unit) = 0.00
- crystal system = trigonal
- formation energy from raw total energies (eV per atom) = -0.558